(1)
DFT (PBE) results for crystalline NaCa2Ir2 at its relaxed geometry.

The space group is P4/mbm (No. 127) and the conventional cell measures 8.234, 8.234 and 3.362 Å, with angles of 90.00, 90.00 and 90.00 degrees. The inequivalent atoms are Na at (0.000, 0.000, 0.000), Ca at (0.176, 0.324, 0.500) and Ir at (0.113, 0.613, 0.000).

For the density of states at the Fermi level, the calculation gives 0.90 states/eV per atom. As for the energy above the most stable polymorph in this dataset: 0.000 eV per formula unit.

(2)
DFT (PBE) results for crystalline PaHg3Se2Br6 at its relaxed geometry.

The space group is C2/m (No. 12) and the conventional cell measures 16.781, 7.844 and 7.645 Å, with angles of 90.00, 111.57 and 90.00 degrees. The inequivalent atoms are Pa at (0.000, 0.000, 0.000), Hg at (0.000, 0.500, 0.500), Hg at (0.250, 0.250, 0.500), Se at (0.175, 0.500, 0.592), Br at (0.077, 0.000, 0.386) and Br at (0.110, 0.244, 0.978).

For the density of states at the Fermi level, the calculation gives 0.39 states/eV per atom. For the formation energy from raw total energies, the calculation gives -806 meV/atom.

(3)
DFT (PBE) results for crystalline Nd2Zn2SbRh5 at its relaxed geometry.

The space group is P4/mbm (No. 127) and the conventional cell measures 9.834, 9.834 and 3.686 Å, with angles of 90.00, 90.00 and 90.00 degrees. The inequivalent atoms are Nd at (0.175, 0.325, 0.000), Zn at (0.123, 0.623, 0.000), Sb at (0.000, 0.000, 0.000), Rh at (0.000, 0.500, 0.500) and Rh at (0.066, 0.794, 0.500).

For the density of states at the Fermi level, the calculation gives 0.63 states/eV per atom. For the formation energy from raw total energies, the calculation gives -615 meV/atom.

(4)
DFT (PBE) results for crystalline LaReAu3 at its relaxed geometry.

The space group is Pm-3m (No. 221) and the conventional cell measures 5.048, 5.048 and 5.048 Å, with angles of 90.00, 90.00 and 90.00 degrees. The inequivalent atoms are La at (0.000, 0.000, 0.000), Re at (0.500, 0.500, 0.500) and Au at (0.000, 0.500, 0.500).

For the density of states at the Fermi level, the calculation gives 1.28 states/eV per atom. As for the energy above the most stable polymorph in this dataset: 0.000 eV per formula unit.

(5)
DFT (PBE) results for crystalline NiBi2Pb at its relaxed geometry.

The space group is R3m (No. 160, hexagonal axes) and the conventional cell measures 4.1593, 4.1593 and 22.1606 Å, with angles of 90.00, 90.00 and 120.00 degrees. The inequivalent atoms are Ni at (0.0000, 0.0000, 0.0000), Bi at (0.0000, 0.0000, 0.3853), Bi at (0.0000, 0.0000, 0.6070) and Pb at (0.0000, 0.0000, 0.1556).

For the density of states at the Fermi level, the calculation gives 0.52 states/eV per atom. The calculation puts the energy at -4.253 eV/atom.

(6)
DFT (PBE) results for crystalline Ti5N2 at its relaxed geometry.

The space group is C2/c (No. 15) and the conventional cell measures 13.299, 5.014 and 5.750 Å, with angles of 90.00, 104.27 and 90.00 degrees. The inequivalent atoms are Ti at (0.000, 0.072, 0.250), Ti at (0.101, 0.439, 0.977), Ti at (0.206, 0.067, 0.634) and N at (0.149, 0.243, 0.302).

For the density of states at the Fermi level, the calculation gives 0.64 states/eV per atom. For the formation energy from raw total energies, the calculation gives -1103 meV/atom.